Record 1
Ta2S, relaxed, DFT PBE; total moment = 0.00 μB/atom; electronic total energy = -9.8890 eV per atom; volume = 53.12 Å³/f.u.
1.0
7.413 0.000 0.000
0.000 5.615 0.000
0.000 0.000 15.315
Ta S
24 12
Cartesian
0.067 0.747 3.829
0.067 2.060 11.486
0.705 3.393 9.041
0.705 3.393 13.932
0.705 5.029 1.383
0.705 5.029 6.274
2.098 0.584 10.023
2.098 0.584 12.949
2.098 2.223 2.366
2.098 2.223 5.291
2.603 3.525 11.486
2.603 4.897 3.829
4.810 0.718 11.486
4.810 2.090 3.829
5.315 3.391 10.023
5.315 3.391 12.949
5.315 5.031 2.366
5.315 5.031 5.291
6.708 0.586 9.041
6.708 0.586 13.932
6.708 2.221 1.383
6.708 2.221 6.274
7.347 3.554 3.829
7.347 4.868 11.486
1.335 1.404 0.000
1.335 1.404 7.657
3.057 4.108 9.149
3.057 4.108 13.823
3.057 4.315 1.492
3.057 4.315 6.166
4.356 1.300 9.149
4.356 1.300 13.823
4.356 1.507 1.492
4.356 1.507 6.166
6.078 4.211 0.000
6.078 4.211 7.657

Record 2
TaS2, relaxed, DFT PBE; total moment = 0.01 μB/atom; electronic total energy = -7.7518 eV per atom; volume = 100.24 Å³/f.u.
1.0
5.774 0.000 0.000
0.000 3.333 0.000
-2.879 0.000 10.417
Ta S
2 4
Cartesian
0.000 0.000 0.000
2.868 1.667 0.000
-1.930 1.667 8.843
0.952 1.667 1.576
0.961 0.000 8.852
3.844 0.000 1.565

Record 3
TaS2, relaxed, DFT PBE; total moment = 0.00 μB/atom; electronic total energy = -5.6470 eV per atom; volume = 46.60 Å³/f.u.
1.0
0.000 3.599 3.599
3.599 0.000 3.599
3.599 3.599 0.000
Ta S
2 4
Cartesian
0.900 0.900 0.900
6.297 6.297 6.297
3.599 1.799 1.799
1.799 3.599 1.799
1.799 1.799 3.599
3.599 3.599 3.599

Record 4
TaS2, relaxed, DFT PBE; total moment = 0.00 μB/atom; electronic total energy = -7.7237 eV per atom; volume = 60.11 Å³/f.u.
1.0
3.357 0.000 0.000
-1.679 2.908 0.000
0.000 0.000 18.472
Ta S
3 6
Cartesian
0.000 0.000 0.000
0.000 1.938 12.315
1.679 0.969 6.157
0.000 0.000 4.610
0.000 0.000 13.862
0.000 1.938 7.705
0.000 1.938 16.925
1.679 0.969 1.547
1.679 0.969 10.767

Record 5
TaS2, relaxed, DFT PBE; total moment = 0.05 μB/atom; electronic total energy = -7.5371 eV per atom; volume = 53.21 Å³/f.u.
1.0
6.810 0.000 0.000
0.000 3.440 0.000
-4.251 0.000 9.083
Ta S
4 8
Cartesian
0.825 0.855 1.629
-1.300 0.865 6.171
3.860 2.575 2.913
1.735 2.586 7.454
-1.223 0.855 3.585
-3.348 0.866 8.126
1.423 2.574 3.289
-0.702 2.587 7.831
3.262 0.854 1.252
1.136 0.867 5.794
5.908 2.575 0.957
3.782 2.586 5.499

Record 6
TaS2, relaxed, DFT PBE; total moment = 0.25 μB/atom; electronic total energy = -7.2947 eV per atom; volume = 56.14 Å³/f.u.
1.0
6.078 0.000 0.000
0.000 6.078 0.000
0.000 0.000 6.078
Ta S
4 8
Cartesian
0.000 0.000 0.000
0.000 3.039 3.039
3.039 0.000 3.039
3.039 3.039 0.000
0.886 3.925 5.193
0.886 5.193 2.153
2.153 0.886 5.193
2.153 2.153 2.153
3.925 3.925 3.925
3.925 5.193 0.886
5.193 0.886 3.925
5.193 2.153 0.886

Record 7
Ta2S5, relaxed, DFT PBE; total moment = 0.00 μB/atom; electronic total energy = -7.0736 eV per atom; volume = 150.46 Å³/f.u.
1.0
7.570 -3.098 0.000
7.570 3.098 0.000
-1.683 0.000 6.415
Ta S
4 10
Cartesian
4.279 1.718 4.303
8.337 1.718 5.320
5.120 -1.718 1.095
9.178 -1.718 2.112
-0.094 0.537 6.201
0.747 -0.537 2.993
3.934 0.548 2.249
3.093 -0.548 5.457
6.308 0.542 4.811
7.149 -0.542 1.604
10.364 0.548 0.959
9.523 -0.548 4.166
12.710 0.537 3.422
13.551 -0.537 0.214

Record 8
Ta2S, relaxed, DFT PBE; total moment = 0.03 μB/atom; electronic total energy = -6.8079 eV per atom; volume = 140.10 Å³/f.u.
1.0
0.000 5.194 5.194
5.194 0.000 5.194
5.194 5.194 0.000
Ta S
4 2
Cartesian
0.000 0.000 0.000
2.597 2.597 0.000
2.597 0.000 2.597
0.000 2.597 2.597
1.298 1.298 1.298
9.089 9.089 9.089

Record 9
TaS2, relaxed, DFT PBE; total moment = 0.00 μB/atom; electronic total energy = -7.7525 eV per atom; volume = 100.90 Å³/f.u.
1.0
3.338 0.000 0.000
0.000 20.925 0.000
0.000 0.000 5.778
Ta S
4 8
Cartesian
0.000 0.000 0.000
0.000 10.462 2.866
1.669 0.000 2.866
1.669 10.462 0.000
0.000 1.555 3.838
0.000 8.895 0.954
0.000 12.030 0.954
0.000 19.370 3.838
1.669 1.568 0.954
1.669 8.908 3.838
1.669 12.017 3.838
1.669 19.357 0.954

Record 10
TaS2, relaxed, DFT PBE; total moment = 0.01 μB/atom; electronic total energy = -7.2202 eV per atom; volume = 147.07 Å³/f.u.
1.0
0.000 5.278 5.278
5.278 0.000 5.278
5.278 5.278 0.000
Ta S
2 4
Cartesian
1.320 1.320 1.320
9.237 9.237 9.237
0.000 0.000 0.000
2.639 2.639 0.000
2.639 0.000 2.639
0.000 2.639 2.639

Record 11
TaS2, relaxed, DFT PBE; total moment = 0.00 μB/atom; electronic total energy = -7.5790 eV per atom; volume = 60.73 Å³/f.u.
1.0
6.024 0.000 0.000
0.000 6.024 0.000
0.000 0.000 3.347
Ta S
2 4
Cartesian
0.000 0.000 0.000
3.012 3.012 1.674
1.242 1.242 1.674
1.770 4.254 0.000
4.254 1.770 0.000
4.782 4.782 1.674